An optimized crystal structure of CaLa4Te5, computed with PBE.

- Total DFT energy (no corrections): -5.34 eV per atom
- ΔE_f (raw): -154.13 kJ/mol of atoms
- Space group: No. 139
- Energy above the lowest structure with this stoichiometry: 0.0 meV per atom

Lattice parameters (Å, degrees): 16.5140 16.5140 16.5140 164.10 164.10 22.56
Closest atoms and distances in Å follow each position.
Fractional positions:
Ca1 0.0000 0.0000 0.0000  6 Te 3.16-3.23
La1 0.1990 0.1990 0.0000  6 Te 3.23-3.29
La2 0.3983 0.3983 0.0000  6 Te 3.22-3.29
La3 0.6017 0.6017 0.0000  6 Te 3.22-3.29
La4 0.8010 0.8010 0.0000  6 Te 3.23-3.29
Te1 0.0975 0.0975 0.0000  1 Ca 3.16, 5 La 3.23-3.29
Te2 0.2990 0.2990 0.0000  6 La 3.22-3.24
Te3 0.5000 0.5000 0.0000  4 Ca 3.23, 2 La 3.29
Te4 0.7010 0.7010 0.0000  6 La 3.22-3.24
Te5 0.9025 0.9025 0.0000  1 Ca 3.16, 5 La 3.23-3.29

An optimized crystal structure of Nb3V3Ge2, computed with PBE.

- Total DFT energy (no corrections): -8.62 eV per atom
- E_form: -0.272 eV/atom
- Space group: No. 155

Lattice parameters (Å, degrees): 4.9894 4.9894 4.9894 90.07 90.07 90.07
Closest atoms and distances in Å follow each position.
Fractional positions:
Nb1 0.0000 0.2504 0.7496  2 V 2.49, 2 Ge 2.78
Nb2 0.2504 0.7496 0.0000  2 V 2.49, 2 Ge 2.78
Nb3 0.7496 0.0000 0.2504  2 V 2.49, 2 Ge 2.78
V1 0.2485 0.7515 0.5000  2 Nb 2.49, 2 Ge 2.76
V2 0.5000 0.2485 0.7515  2 Nb 2.49, 2 Ge 2.76
V3 0.7515 0.5000 0.2485  2 Nb 2.49, 2 Ge 2.76
Ge1 0.2552 0.2552 0.2552  6 V 2.76-2.80, 6 Nb 2.78-2.82
Ge2 0.7448 0.7448 0.7448  6 V 2.76-2.80, 6 Nb 2.78-2.82

An optimized crystal structure of Re2TcTe, computed with PBE.

- Total DFT energy (no corrections): -9.06 eV per atom
- ΔE_f (raw): 52.47 kJ/mol of atoms
- Space group: No. 6

Lattice parameters (Å, degrees): 2.9380 4.0288 5.9227 90.00 104.10 90.00
Closest atoms and distances in Å follow each position.
Fractional positions:
Re1 0.0000 0.0000 0.0000  1 Te 2.69, 6 Re 2.72-2.94, 4 Tc 2.86-2.87
Re2 0.4045 0.5000 0.8083  1 Tc 2.52, 4 Re 2.72-2.73, 2 Te 2.81
Tc1 0.6219 0.5000 0.2462  1 Re 2.52, 4 Te 2.80
Te1 0.2301 0.0000 0.4682  3 Re 2.69-2.81, 4 Tc 2.80, 2 Te 2.94

Which of these has the highest total DFT energy (no corrections)?
CaLa4Te5

What is the formula in the first record?
CaLa4Te5

Please write out number 2 again, unchanged.
An optimized crystal structure of Nb3V3Ge2, computed with PBE.

- Total DFT energy (no corrections): -8.62 eV per atom
- E_form: -0.272 eV/atom
- Space group: No. 155

Lattice parameters (Å, degrees): 4.9894 4.9894 4.9894 90.07 90.07 90.07
Closest atoms and distances in Å follow each position.
Fractional positions:
Nb1 0.0000 0.2504 0.7496  2 V 2.49, 2 Ge 2.78
Nb2 0.2504 0.7496 0.0000  2 V 2.49, 2 Ge 2.78
Nb3 0.7496 0.0000 0.2504  2 V 2.49, 2 Ge 2.78
V1 0.2485 0.7515 0.5000  2 Nb 2.49, 2 Ge 2.76
V2 0.5000 0.2485 0.7515  2 Nb 2.49, 2 Ge 2.76
V3 0.7515 0.5000 0.2485  2 Nb 2.49, 2 Ge 2.76
Ge1 0.2552 0.2552 0.2552  6 V 2.76-2.80, 6 Nb 2.78-2.82
Ge2 0.7448 0.7448 0.7448  6 V 2.76-2.80, 6 Nb 2.78-2.82

Please write out number 2 again, unchanged.
An optimized crystal structure of Nb3V3Ge2, computed with PBE.

- Total DFT energy (no corrections): -8.62 eV per atom
- E_form: -0.272 eV/atom
- Space group: No. 155

Lattice parameters (Å, degrees): 4.9894 4.9894 4.9894 90.07 90.07 90.07
Closest atoms and distances in Å follow each position.
Fractional positions:
Nb1 0.0000 0.2504 0.7496  2 V 2.49, 2 Ge 2.78
Nb2 0.2504 0.7496 0.0000  2 V 2.49, 2 Ge 2.78
Nb3 0.7496 0.0000 0.2504  2 V 2.49, 2 Ge 2.78
V1 0.2485 0.7515 0.5000  2 Nb 2.49, 2 Ge 2.76
V2 0.5000 0.2485 0.7515  2 Nb 2.49, 2 Ge 2.76
V3 0.7515 0.5000 0.2485  2 Nb 2.49, 2 Ge 2.76
Ge1 0.2552 0.2552 0.2552  6 V 2.76-2.80, 6 Nb 2.78-2.82
Ge2 0.7448 0.7448 0.7448  6 V 2.76-2.80, 6 Nb 2.78-2.82